(1)
The following is a DFT calculation (GGA-PBE) of a geometry-optimized Na2Pd2Pb3 structure.

Cell lengths 11.1695, 4.5218, 7.9768 Å; angles 90.00, 117.34, 90.00 degrees
Space group C2/m (No. 12)
Unique sites:
Na: 0.1570 0.0000 0.3046
Pd: 0.1191 0.0000 0.7062
Pb: 0.0000 0.5000 0.5000
Pb: 0.1308 0.5000 0.9590

Calculated values
ΔE_f: -5.5 kcal/mol of atoms


(2)
The following is a DFT calculation (GGA-PBE) of a geometry-optimized NaPd9Pb2 structure.

Cell lengths 4.1059, 4.1059, 12.1025 Å; angles 90.00, 90.00, 90.00 degrees
Space group P4/mmm (No. 123)
Unique sites:
Na: 0.0000 0.0000 0.0000
Pd: 0.0000 0.5000 0.1641
Pd: 0.0000 0.5000 0.5000
Pd: 0.5000 0.5000 0.0000
Pd: 0.5000 0.5000 0.3317
Pb: 0.0000 0.0000 0.3295

Calculated values
ΔE_f: -4.1 kcal/mol of atoms